LiBeC (PBE, optimized geometry); volume = 11.37 Å³ per atom; ΔE_f = 144 meV per atom; DOS at the Fermi energy = 0.48 states/eV/f.u.
1.0
-0.4760 -3.9907 -0.4218
2.5408 0.0464 -3.3062
6.3518 -1.2717 4.8633
Be Li C
4 4 4
direct
0.7427 0.0000 0.1945
0.2573 0.0000 0.1945
0.2573 0.5000 0.6945
0.7427 0.5000 0.6945
0.0000 0.5000 0.0526
0.0000 0.0000 0.5526
0.5000 0.0000 0.9113
0.5000 0.5000 0.4113
0.5000 0.8395 0.6579
0.5000 0.6605 0.1579
0.5000 0.1605 0.6579
0.5000 0.3395 0.1579

LiBeC (PBE, optimized geometry); volume = 9.41 Å³ per atom; ΔE_f = 169 meV per atom; DOS at the Fermi energy = 0.43 states/eV/f.u.
1.0
-1.7729 2.7746 0.5265
-0.4444 -0.1958 -4.2083
-2.9823 -2.5023 1.7142
Be C Li
2 2 2
direct
0.9369 0.2331 0.1214
0.0631 0.7669 0.8786
0.4223 0.1303 0.1369
0.5777 0.8697 0.8631
0.5585 0.7061 0.3212
0.4415 0.2939 0.6788

LiBeC (PBE, optimized geometry); volume = 8.47 Å³ per atom; ΔE_f = 185 meV per atom; DOS at the Fermi energy = 0.17 states/eV/f.u.
1.0
-1.1869 -1.5099 -4.1133
5.0499 -0.5897 -1.2406
-0.0869 -3.9903 1.5430
C Be Li
4 4 4
direct
0.1196 0.5000 0.6634
0.1196 0.0000 0.1634
0.8804 0.0000 0.8366
0.8804 0.5000 0.3366
0.0000 0.7007 0.0000
0.0000 0.2993 0.0000
0.0000 0.7993 0.5000
0.0000 0.2007 0.5000
0.3880 0.0000 0.7727
0.3880 0.5000 0.2727
0.6120 0.5000 0.7273
0.6120 0.0000 0.2273

LiBeC (PBE, optimized geometry); volume = 9.64 Å³ per atom; ΔE_f = 170 meV per atom; DOS at the Fermi energy = 0.48 states/eV/f.u.
1.0
3.4457 -0.0200 0.0267
-1.4539 4.2737 -0.0342
-1.1527 -1.9765 3.9387
C Be Li
2 2 2
direct
0.5130 0.6865 0.9795
0.9341 0.9446 0.2515
0.9725 0.6332 0.9083
0.2256 0.3021 0.6203
0.4783 0.8330 0.5050
0.5433 0.2357 0.1607

LiBeC3 (PBE, optimized geometry); volume = 8.98 Å³ per atom; ΔE_f = 2945 meV per atom; DOS at the Fermi energy = 1.75 states/eV/f.u.
1.0
3.5536 0.0000 0.0000
0.0000 3.5536 0.0000
0.0000 0.0000 3.5536
Be C Li
1 3 1
direct
0.5000 0.5000 0.5000
0.0000 0.0000 0.5000
0.0000 0.5000 0.0000
0.5000 0.0000 0.0000
0.0000 0.0000 0.0000

LiMnBeC2 (PBE, optimized geometry); volume = 8.28 Å³ per atom; ΔE_f = 2143 meV per atom; DOS at the Fermi energy = 4.64 states/eV/f.u.
1.0
-2.9812 1.8145 0.6098
-1.2072 -2.5559 1.7033
1.4088 1.3156 2.9726
Li Mn Be C
1 1 1 2
direct
0.0000 0.0000 0.0000
0.5000 0.5000 0.5000
0.0000 0.5000 0.0000
0.5000 0.0000 0.0000
0.0000 0.0000 0.5000

LiBeCN2 (PBE, optimized geometry); volume = 9.07 Å³ per atom; ΔE_f (raw) = -37 meV/atom; DOS at the Fermi energy = 1.59 states/eV/f.u.
1.0
4.4044 0.0000 0.0000
0.0000 4.0217 0.5461
0.0000 -0.6839 5.0270
N C Be Li
4 2 2 2
direct
0.2549 0.8368 0.4999
0.7451 0.8368 0.9999
0.7451 0.1632 0.5001
0.2549 0.1632 0.0001
0.0000 0.0000 0.0000
0.0000 0.0000 0.5000
0.4999 0.0000 0.2500
0.5001 0.0000 0.7500
0.0009 0.5000 0.7500
0.9991 0.5000 0.2500

LiBeC2O6 (PBE, optimized geometry); volume = 8.71 Å³ per atom; ΔE_f (raw) = -1497 meV/atom; DOS at the Fermi energy = 2.55 states/eV/f.u.
1.0
-0.5909 -4.0862 1.7552
0.1333 -3.6193 -2.6476
4.7674 -2.9498 0.4713
O C Li Be
6 2 1 1
direct
0.2747 0.9387 0.2765
0.9387 0.5101 0.2765
0.5101 0.2747 0.2765
0.0613 0.4899 0.7235
0.7253 0.0613 0.7235
0.4899 0.7253 0.7235
0.7599 0.7599 0.7204
0.2401 0.2401 0.2796
0.0000 0.0000 0.0000
0.5000 0.5000 0.5000

LiBe2RhC (PBE, optimized geometry); volume = 15.08 Å³ per atom; ΔE_f = 1583 meV per atom; DOS at the Fermi energy = 2.76 states/eV/f.u.
1.0
-0.5085 1.9632 -3.5751
-4.1263 -1.6687 -0.3294
-1.4816 3.2678 2.0051
Be C Li Rh
2 1 1 1
direct
0.0000 0.0000 0.5000
0.5000 0.0000 0.0000
0.5000 0.5000 0.5000
0.0000 0.5000 0.0000
0.0000 0.0000 0.0000

LiBeSn2C (PBE, optimized geometry); volume = 18.48 Å³ per atom; ΔE_f = 544 meV per atom; DOS at the Fermi energy = 1.58 states/eV/f.u.
1.0
5.3652 0.0000 0.0000
0.0000 3.2106 0.0000
0.0000 0.0000 5.3652
Sn Li C Be
2 1 1 1
direct
0.0000 0.0000 0.5000
0.5000 0.0000 0.0000
0.5000 0.5000 0.5000
0.0000 0.5000 0.0000
0.0000 0.0000 0.0000

LiTa2BeC (PBE, optimized geometry); volume = 12.63 Å³ per atom; ΔE_f = 1486 meV per atom; DOS at the Fermi energy = 4.08 states/eV/f.u.
1.0
-0.6603 -2.6149 3.5098
-1.5801 -2.1033 -1.8643
3.8014 -2.1018 -0.8508
Ta Be C Li
2 1 1 1
direct
0.0000 0.0000 0.5000
0.5000 0.0000 0.0000
0.5000 0.5000 0.5000
0.0000 0.5000 0.0000
0.0000 0.0000 0.0000

LiY2BeC (PBE, optimized geometry); volume = 18.12 Å³ per atom; ΔE_f = -41 meV per atom; DOS at the Fermi energy = 4.99 states/eV/f.u.
1.0
-4.1959 2.5164 1.2651
-2.1869 -1.4805 -4.3086
-1.2458 -2.8954 1.6273
Y Be C Li
2 1 1 1
direct
0.0000 0.5000 0.0000
0.5000 0.0000 0.0000
0.0000 0.0000 0.5000
0.0000 0.0000 0.0000
0.5000 0.5000 0.5000

LuBeC (PBE, optimized geometry); volume = 11.48 Å³ per atom; ΔE_f = -356 meV per atom; DOS at the Fermi energy = 1.24 states/eV/f.u.
1.0
3.6544 0.0000 0.0000
0.0000 3.2992 0.0000
0.0000 -1.6496 2.8572
Be C Lu
1 1 1
direct
0.1667 0.6667 0.3333
0.1667 0.0000 0.0000
0.6666 0.3333 0.6667